Compound: W3AuO
Source: Alexandria
Functional: PBE with a Hubbard U
Structure: relaxed

As for the relative energy among the computed polymorphs: 1.7925 eV per atom. The energy comes out at -0.2582 Ry/atom.

It has space group Pm-3m (No. 221), with a = 5.186 Å, b = 5.186 Å, c = 5.186 Å, α = 90.00°, β = 90.00° and γ = 90.00°. Symmetry generates all atoms from W at (0.000, 0.000, 0.500), Au at (0.000, 0.000, 0.000) and O at (0.500, 0.500, 0.500).